## NbH6Cl12 (PBE)

Data for crystalline NbH6Cl12 at its relaxed geometry.

a = 9.000 Å, b = 9.000 Å, c = 9.000 Å
α = 109.50°, β = 109.50°, γ = 109.50°
Positions (direct):
Nb (0.000, 0.000, 0.000)
H (0.051, 0.217, 0.713)
H (0.217, 0.713, 0.051)
H (0.287, 0.949, 0.783)
H (0.713, 0.051, 0.217)
H (0.783, 0.287, 0.949)
H (0.949, 0.783, 0.287)
Cl (0.022, 0.286, 0.153)
Cl (0.153, 0.022, 0.286)
Cl (0.167, 0.346, 0.709)
Cl (0.286, 0.153, 0.022)
Cl (0.291, 0.833, 0.654)
Cl (0.346, 0.709, 0.167)
Cl (0.654, 0.291, 0.833)
Cl (0.709, 0.167, 0.346)
Cl (0.714, 0.847, 0.978)
Cl (0.833, 0.654, 0.291)
Cl (0.847, 0.978, 0.714)
Cl (0.978, 0.714, 0.847)

Results
theoretical density = 1.55 g cm⁻³
DOS at the Fermi energy = 22.00 states/eV per cell
total energy = -3.401 eV/atom

***

## NbH2Cl4 (PBE)

Data for crystalline NbH2Cl4 at its relaxed geometry.

a = 8.620 Å, b = 8.620 Å, c = 8.620 Å
α = 140.01°, β = 140.01°, γ = 57.84°
Positions (direct):
Nb (0.000, 0.000, 0.000)
H (0.250, 0.750, 0.500)
H (0.750, 0.250, 0.500)
Cl (0.141, 0.688, 0.000)
Cl (0.312, 0.312, 0.453)
Cl (0.688, 0.141, 0.000)
Cl (0.859, 0.859, 0.547)

Results
theoretical density = 1.50 g cm⁻³
DOS at the Fermi energy = 6.70 states/eV per cell
relative energy among the computed polymorphs = 0.0648 eV/atom

***

## NbHCl6 (PBE)

Data for crystalline NbHCl6 at its relaxed geometry.

a = 6.523 Å, b = 6.707 Å, c = 6.981 Å
α = 62.98°, β = 65.34°, γ = 72.16°
Positions (direct):
Nb (0.000, 0.000, 0.000)
H (0.500, 0.000, 0.000)
Cl (0.198, 0.262, 0.659)
Cl (0.243, 0.706, 0.888)
Cl (0.262, 0.984, 0.190)
Cl (0.738, 0.016, 0.810)
Cl (0.757, 0.294, 0.112)
Cl (0.802, 0.738, 0.341)

Results
theoretical density = 2.08 g cm⁻³
DOS at the Fermi energy = 0.00 states/eV per cell
relative energy among the computed polymorphs = 0.0000 eV/atom

***

## NbHCl6 (PBE)

Data for crystalline NbHCl6 at its relaxed geometry.

a = 8.672 Å, b = 8.672 Å, c = 10.942 Å
α = 126.49°, β = 126.49°, γ = 58.10°
Positions (direct):
Nb (0.000, 0.500, 0.000)
Nb (0.500, 0.000, 0.000)
H (0.000, 0.500, 0.500)
H (0.500, 0.000, 0.500)
Cl (0.006, 0.646, 0.880)
Cl (0.110, 0.751, 0.265)
Cl (0.249, 0.890, 0.735)
Cl (0.268, 0.268, 0.535)
Cl (0.354, 0.354, 0.060)
Cl (0.354, 0.994, 0.120)
Cl (0.646, 0.006, 0.880)
Cl (0.646, 0.646, 0.940)
Cl (0.732, 0.732, 0.465)
Cl (0.751, 0.110, 0.265)
Cl (0.890, 0.249, 0.735)
Cl (0.994, 0.354, 0.120)

Results
theoretical density = 1.99 g cm⁻³
DOS at the Fermi energy = 9.78 states/eV per cell
relative energy among the computed polymorphs = 0.3597 eV/atom

***

## NbHCl3 (PBE)

Data for crystalline NbHCl3 at its relaxed geometry.

a = 4.919 Å, b = 4.919 Å, c = 4.919 Å
α = 90.00°, β = 90.00°, γ = 90.00°
Positions (direct):
Nb (0.000, 0.000, 0.000)
H (0.500, 0.500, 0.500)
Cl (0.000, 0.000, 0.500)
Cl (0.000, 0.500, 0.000)
Cl (0.500, 0.000, 0.000)

Results
theoretical density = 2.79 g cm⁻³
DOS at the Fermi energy = 2.77 states/eV per cell
relative energy among the computed polymorphs = 0.3564 eV/atom

***

## Nb2HCl (PBE)

Data for crystalline Nb2HCl at its relaxed geometry.

a = 6.151 Å, b = 6.151 Å, c = 6.151 Å
α = 132.41°, β = 132.41°, γ = 69.59°
Positions (direct):
Nb (0.033, 0.625, 0.908)
Nb (0.375, 0.283, 0.408)
Nb (0.717, 0.125, 0.092)
Nb (0.875, 0.967, 0.592)
H (0.000, 0.000, 0.000)
H (0.750, 0.250, 0.500)
Cl (0.250, 0.750, 0.500)
Cl (0.500, 0.500, 0.000)

Results
theoretical density = 5.93 g cm⁻³
DOS at the Fermi energy = 3.76 states/eV per cell
relative energy among the computed polymorphs = 0.0000 eV/atom

***

Which value of theoretical density does entry 6 give? 5.93 g cm⁻³

***

Among the records above, which one has the highest theoretical density? Nb2HCl

***

Which value of DOS at the Fermi energy does entry 4 give? 9.78 states/eV per cell

***

What is the formula in the fourth record? NbHCl6